Record 1
Here is an optimized crystal structure of Pm5Nd2Sc from Alexandria via LeMat-Bulk. Energies are from PBE.

Lattice parameters (Å, degrees): 10.1709 14.4838 3.6161 90.00 90.00 90.00
Last column: nearest neighbours and their distance in Å.
Space group Cmmm (No. 65)
Symmetry-distinct sites (fractional):
Pm: 0.0000 0.0000 0.0000  2 Nd 3.61, 10 Pm 3.62-3.64
Pm: 0.2421 0.3786 0.5000  6 Pm 3.52-3.73, 2 Sc 3.52, 4 Nd 3.58-3.69
Nd: 0.0000 0.2495 0.0000  9 Pm 3.58-3.69, 2 Nd 3.62, 1 Sc 3.63
Sc: 0.0000 0.5000 0.0000  8 Pm 3.52, 2 Sc 3.62, 2 Nd 3.63

Output
Formation energy from the elements = 0.032 eV/atom
Total energy = -4.921 eV per atom

Record 2
Here is an optimized crystal structure of Pm12Nd5Sc2 from Alexandria via LeMat-Bulk. Energies are from PBE.

Lattice parameters (Å, degrees): 19.2821 7.4325 10.0546 90.00 115.82 90.00
Last column: nearest neighbours and their distance in Å.
Space group C2/m (No. 12)
Symmetry-distinct sites (fractional):
Pm: 0.0069 0.0000 0.2083  1 Nd 2.99, 2 Sc 3.05
Pm: 0.0073 0.5000 0.3185  5 Pm 3.38-3.78, 2 Sc 3.46
Pm: 0.1588 0.2492 0.8497  6 Pm 3.45-3.73, 3 Nd 3.60-3.82
Pm: 0.1654 0.2418 0.5001  5 Pm 3.27-3.66
Nd: 0.0000 0.0000 0.5000  2 Pm 2.99
Nd: 0.1741 0.0000 0.1688  5 Pm 3.42-3.80, 2 Nd 3.72, 2 Sc 3.78
Nd: 0.1743 0.5000 0.1937  2 Sc 3.39, 4 Pm 3.70-3.74, 2 Nd 3.72
Sc: 0.0000 0.3042 0.0000  1 Sc 2.91, 2 Pm 3.05

Output
Energy above the most stable polymorph in this dataset = 1.4 kJ per mole of atoms
Formation energy from the elements = 0.163 eV/atom
Total energy = -4.759 eV per atom